Below is a relaxed CaPr8Tm5 crystal, with properties calculated at the PBE level.

## Properties
- Formation enthalpy at 0 K: 0.238 eV/atom

```
data_CaPr8Tm5
_cell_length_a 9.788
_cell_length_b 9.788
_cell_length_c 10.425
_cell_angle_alpha 90.00
_cell_angle_beta 90.00
_cell_angle_gamma 90.00
_symmetry_space_group_name_H-M 'I -4'
_symmetry_Int_Tables_number 82
_symmetry_space_group_name_Hall 'I -4'
loop_
_atom_site_label
_atom_site_fract_x
_atom_site_fract_y
_atom_site_fract_z
Ca1 0.000 0.000 0.000
Pr1 0.070 0.827 0.652
Pr2 0.095 0.672 0.998
Tm1 0.000 0.500 0.750
Tm2 0.111 0.701 0.323
```